# GGA-PBE SiRh2Cl, relaxed
data_SiRh2Cl
_chemical_formula_sum 'Si1 Rh2 Cl1'
_cell_length_a 2.9435
_cell_length_b 2.9435
_cell_length_c 6.8584
_cell_angle_alpha 90.00
_cell_angle_beta 90.00
_cell_angle_gamma 90.00
_symmetry_space_group_name_H-M 'P 4/m m m'
_symmetry_Int_Tables_number 123
_symmetry_space_group_name_Hall '-P 4 2'
loop_
_atom_site_label
_atom_site_fract_x
_atom_site_fract_y
_atom_site_fract_z
_atom_site_occupancy
Si1 0.0000 0.0000 0.0000 1
Rh1 0.5000 0.5000 0.1989 1
Cl1 0.0000 0.0000 0.5000 1
# magnetic moment	0.000	μB per formula unit
# formation energy from raw total energies	-31	kJ/mol of atoms